Entry from Alexandria via LeMat-Bulk: a geometry-optimized SrAgSn structure (PBE).

## Properties
- Fermi-level density of states: 1.15 states/eV/f.u.
- Total DFT energy (no corrections): -3.374 eV/atom

Unit cell a=4.9574 b=8.4888 c=15.7860 alpha=90.00 beta=90.00 gamma=90.00
With the nearest neighbours (Å) after each atom.
Sites, in units of the cell vectors:
Sr: 0.5000 0.7847 0.7479  6 Ag 3.36-3.57, 6 Sn 3.41-3.61
Sr: 0.0000 0.2943 0.5000  6 Ag 3.45-3.48, 6 Sn 3.55-3.57
Sr: 0.5000 0.7062 0.5000  6 Sn 3.41-3.42, 6 Ag 3.61-3.62
Sr: 0.0000 0.2938 0.0000  6 Sn 3.41-3.42, 6 Ag 3.61-3.62
Sr: 0.0000 0.2153 0.7521  6 Ag 3.36-3.57, 6 Sn 3.41-3.61
Sr: 0.0000 0.2153 0.2479  6 Ag 3.36-3.57, 6 Sn 3.41-3.61
Sr: 0.5000 0.7057 0.0000  6 Ag 3.45-3.48, 6 Sn 3.55-3.57
Sr: 0.5000 0.7847 0.2521  6 Ag 3.36-3.57, 6 Sn 3.41-3.61
Ag: 0.0000 0.9160 0.1059  3 Sn 2.87
Ag: 0.0000 0.9160 0.8941  3 Sn 2.87
Ag: 0.5000 0.4162 0.8470  4 Sn 2.87-3.14
Ag: 0.0000 0.5838 0.3470  4 Sn 2.87-3.14
Ag: 0.5000 0.4162 0.1530  4 Sn 2.87-3.14
Ag: 0.5000 0.0840 0.3941  3 Sn 2.87
Ag: 0.5000 0.0840 0.6059  3 Sn 2.87
Ag: 0.0000 0.5838 0.6530  4 Sn 2.87-3.14
Sn: 0.0000 0.9145 0.5973  3 Ag 2.87-2.94, 1 Sn 3.07
Sn: 0.0000 0.5875 0.8520  4 Ag 2.87-3.14
Sn: 0.5000 0.4125 0.3520  4 Ag 2.87-3.14
Sn: 0.0000 0.5875 0.1480  4 Ag 2.87-3.14
Sn: 0.5000 0.4125 0.6480  4 Ag 2.87-3.14
Sn: 0.0000 0.9145 0.4027  3 Ag 2.87-2.94, 1 Sn 3.07
Sn: 0.5000 0.0855 0.0973  3 Ag 2.87-2.94, 1 Sn 3.07
Sn: 0.5000 0.0855 0.9027  3 Ag 2.87-2.94, 1 Sn 3.07